Entry 1:
# LaAlOs3

Crystalline LaAlOs3 at its relaxed geometry (PBE, the Alexandria database).

The formation energy is 269 kJ/mol of atoms. The crystal system is cubic. The relative energy among the computed polymorphs is 1962 meV/atom.

Lattice parameters (Å, degrees): 4.8374 4.8374 4.8374 90.00 90.00 90.00
Atoms (fractional coordinates):
Os (0.0000, 0.0000, 0.5000)
Os (0.0000, 0.5000, 0.0000)
Os (0.5000, 0.0000, 0.0000)
Al (0.5000, 0.5000, 0.5000)
La (0.0000, 0.0000, 0.0000)

---

Entry 2:
# NbOs3I

Crystalline NbOs3I at its relaxed geometry (PBE, the Alexandria database).

The formation energy (no corrections) is 56.5 kcal/mol of atoms. The crystal system is cubic. The relative energy among the computed polymorphs is 0 meV/atom.

Lattice parameters (Å, degrees): 4.8655 4.8655 4.8655 90.00 90.00 90.00
Last column: magnetic moment on the atom in μB.
Atoms (fractional coordinates):
Os (0.5000, 0.0000, 0.0000)  1.05
Os (0.0000, 0.5000, 0.0000)  1.40
Os (0.0000, 0.0000, 0.5000)  1.23
I (0.5000, 0.5000, 0.5000)  0.14
Nb (0.0000, 0.0000, 0.0000)  -0.29

---

Entry 3:
# AlInFe

Crystalline AlInFe at its relaxed geometry (PBE, the Alexandria database).

The formation energy is -5 kJ/mol of atoms. The crystal system is tetragonal.

Lattice parameters (Å, degrees): 3.0458 3.0458 20.8459 90.00 90.00 90.00
Atoms (fractional coordinates):
In (0.0000, 0.0000, 0.4292)
In (0.5000, 0.5000, 0.9292)
In (0.0000, 0.0000, 0.5708)
In (0.5000, 0.5000, 0.0708)
Fe (0.5000, 0.5000, 0.3450)
Fe (0.5000, 0.5000, 0.6550)
Fe (0.0000, 0.0000, 0.8450)
Fe (0.0000, 0.0000, 0.1550)
Al (0.5000, 0.5000, 0.2106)
Al (0.0000, 0.0000, 0.7106)
Al (0.0000, 0.0000, 0.2894)
Al (0.5000, 0.5000, 0.7894)

---

Entry 4:
# BeTl4Mo

Crystalline BeTl4Mo at its relaxed geometry (PBE, the Alexandria database).

The formation energy is 119 kJ/mol of atoms. The crystal system is cubic.

Lattice parameters (Å, degrees): 6.2099 6.2099 6.2099 60.00 60.00 60.00
Last column: magnetic moment on the atom in μB.
Atoms (fractional coordinates):
Tl (0.3749, 0.8753, 0.3749)  -0.01
Tl (0.3749, 0.3749, 0.8753)  -0.01
Tl (0.3749, 0.3749, 0.3749)  -0.01
Tl (0.8753, 0.3749, 0.3749)  -0.01
Mo (0.0000, 0.0000, 0.0000)  3.50
Be (0.7500, 0.7500, 0.7500)  -0.02

---

Entry 5:
# NbIrCI

Crystalline NbIrCI at its relaxed geometry (PBE, the Alexandria database).

The formation energy (no corrections) is 7.1 kcal/mol of atoms. The crystal system is monoclinic. The relative energy among the computed polymorphs is 93 meV/atom.

Lattice parameters (Å, degrees): 7.0371 3.3191 7.0384 90.00 111.53 90.00
Atoms (fractional coordinates):
Nb (0.0079, 0.5000, 0.7442)
Nb (0.0079, 0.0000, 0.2442)
I (0.6842, 0.5000, 0.3070)
I (0.6842, 0.0000, 0.8070)
Ir (0.2493, 0.0000, 0.6228)
Ir (0.2493, 0.5000, 0.1228)
C (0.1900, 0.0000, 0.9016)
C (0.1900, 0.5000, 0.4016)

---

Entry 6:
# PbAuBr2

Crystalline PbAuBr2 at its relaxed geometry (PBE, the Alexandria database).

The formation energy (no corrections) is -3.1 kcal/mol of atoms. The crystal system is trigonal. The relative energy among the computed polymorphs is 214 meV/atom.

Lattice parameters (Å, degrees): 6.1363 6.1363 6.1363 46.93 46.93 46.93
Atoms (fractional coordinates):
Br (0.0034, 0.0034, 0.0034)
Br (0.4966, 0.4966, 0.4966)
Pb (0.2500, 0.2500, 0.2500)
Au (0.7500, 0.7500, 0.7500)

---

DFT total energy across the listed records, respectively: -5.683, -6.611, -5.028, -2.774, -7.118, -2.719 eV/atom.